A relaxed Tb2Er3Au2 crystal. Source: Alexandria via LeMat-Bulk, functional GGA-PBE.

The structure in POSCAR format:
```
Tb2Er3Au2
1.0
6.3314 -1.8424 0.0000
6.3314 1.8424 0.0000
-4.0208 0.0000 8.1986
Tb Er Au
2 3 2
direct
0.1513 0.1513 0.3131 Tb
0.8487 0.8487 0.6869 Tb
0.3865 0.3865 0.0556 Er
0.5000 0.5000 0.5000 Er
0.6135 0.6135 0.9444 Er
0.1705 0.1705 0.7318 Au
0.8295 0.8295 0.2682 Au
```

Output
- size of the total moment (μB per cell) = 0.002
- space-group type = No. 12
- energy of formation (eV per atom) = -0.511

***

A relaxed TbEr2Au crystal. Source: Alexandria via LeMat-Bulk, functional GGA-PBE.

The structure in POSCAR format:
```
TbEr2Au
1.0
2.4459 -5.9006 0.0000
2.4459 5.9006 0.0000
0.0000 0.0000 7.7909
Tb Er Au
2 4 2
direct
0.0441 0.9559 0.7500 Tb
0.9559 0.0441 0.2500 Tb
0.3552 0.6448 0.5368 Er
0.3552 0.6448 0.9632 Er
0.6448 0.3552 0.0368 Er
0.6448 0.3552 0.4632 Er
0.2050 0.7950 0.2500 Au
0.7950 0.2050 0.7500 Au
```

Output
- size of the total moment (μB per cell) = 0.000
- space-group type = No. 63
- energy of formation (eV per atom) = -0.416
- E above lowest polymorph (kJ per mole of atoms) = 3.5

***

A relaxed TbErAu crystal. Source: Alexandria via LeMat-Bulk, functional GGA-PBE.

The structure in POSCAR format:
```
TbErAu
1.0
0.0000 3.5085 3.5085
3.5085 0.0000 3.5085
3.5085 3.5085 0.0000
Tb Er Au
1 1 1
direct
0.0000 0.0000 0.0000 Tb
0.5000 0.5000 0.5000 Er
0.7500 0.7500 0.7500 Au
```

Output
- size of the total moment (μB per cell) = 0.009
- space-group type = No. 216
- energy of formation (eV per atom) = -0.452
- E above lowest polymorph (kJ per mole of atoms) = 18.6

***

A relaxed Tb2ErAu2 crystal. Source: Alexandria via LeMat-Bulk, functional GGA-PBE.

The structure in POSCAR format:
```
Tb2ErAu2
1.0
-2.0175 3.4960 4.6567
2.0175 -3.4960 4.6567
2.0175 3.4960 -4.6567
Tb Er Au
2 1 2
direct
0.1958 0.1958 0.0000 Tb
0.8042 0.8042 0.0000 Tb
0.5000 0.0000 0.5000 Er
0.2086 0.5000 0.7086 Au
0.7914 0.5000 0.2914 Au
```

Output
- size of the total moment (μB per cell) = 0.000
- space-group type = No. 71
- energy of formation (eV per atom) = -0.621
- E above lowest polymorph (kJ per mole of atoms) = 7.8

***

A relaxed Tb2ErAu2 crystal. Source: Alexandria via LeMat-Bulk, functional GGA-PBE.

The structure in POSCAR format:
```
Tb2ErAu2
1.0
8.1864 0.0000 0.0000
0.0000 8.1864 0.0000
0.0000 0.0000 3.7865
Tb Er Au
4 2 4
direct
0.1635 0.3365 0.0000 Tb
0.3365 0.8365 0.0000 Tb
0.6635 0.1635 0.0000 Tb
0.8365 0.6635 0.0000 Tb
0.0000 0.0000 0.5000 Er
0.5000 0.5000 0.5000 Er
0.1330 0.6330 0.5000 Au
0.3670 0.1330 0.5000 Au
0.6330 0.8670 0.5000 Au
0.8670 0.3670 0.5000 Au
```

Output
- size of the total moment (μB per cell) = 0.000
- space-group type = No. 127
- energy of formation (eV per atom) = -0.701
- E above lowest polymorph (kJ per mole of atoms) = 0.0

***

A relaxed TbErAu crystal. Source: Alexandria via LeMat-Bulk, functional GGA-PBE.

The structure in POSCAR format:
```
TbErAu
1.0
7.1233 0.0000 0.0000
0.0000 4.9473 0.0000
0.0000 0.0000 8.9040
Tb Er Au
4 4 4
direct
0.0132 0.2500 0.1767 Tb
0.4868 0.7500 0.6767 Tb
0.5132 0.2500 0.3233 Tb
0.9868 0.7500 0.8233 Tb
0.1486 0.2500 0.5806 Er
0.3514 0.7500 0.0806 Er
0.6486 0.2500 0.9194 Er
0.8514 0.7500 0.4194 Er
0.2453 0.2500 0.9014 Au
0.2547 0.7500 0.4014 Au
0.7453 0.2500 0.5986 Au
0.7547 0.7500 0.0986 Au
```

Output
- size of the total moment (μB per cell) = 0.000
- space-group type = No. 62
- energy of formation (eV per atom) = -0.645
- E above lowest polymorph (kJ per mole of atoms) = 0.0